Tb6SbO12: relaxed, PBE.

a b c (Å): 6.530 6.530 6.530
angles (deg): 98.85 98.85 98.85
Element x y z (fractional)
Tb  0.698  0.860  0.390
Tb  0.610  0.302  0.140
Tb  0.140  0.610  0.302
Tb  0.302  0.140  0.610
Tb  0.390  0.698  0.860
Tb  0.860  0.390  0.698
Sb  0.000  0.000  0.000
O  0.822  0.562  0.412
O  0.412  0.822  0.562
O  0.562  0.412  0.822
O  0.178  0.438  0.588
O  0.588  0.178  0.438
O  0.438  0.588  0.178
O  0.069  0.959  0.303
O  0.041  0.697  0.931
O  0.697  0.931  0.041
O  0.931  0.041  0.697
O  0.959  0.303  0.069
O  0.303  0.069  0.959

Computed properties:
Energy relative to the elements, uncorrected (eV/atom): -3.116
Space group: No. 148

---

HoNp3In3Te8: relaxed, PBE.

a b c (Å): 8.779 8.780 9.590
angles (deg): 117.26 90.00 120.00
Element x y z (fractional)
Ho  0.000  0.000  0.500
Np  0.500  0.000  0.500
Np  0.500  0.500  0.500
Np  0.000  0.500  0.500
In  0.000  0.000  0.000
In  0.000  0.500  0.000
In  0.500  0.500  0.000
Te  0.260  0.520  0.280
Te  0.740  0.480  0.720
Te  0.761  0.522  0.282
Te  0.239  0.478  0.718
Te  0.761  0.021  0.282
Te  0.239  0.979  0.718
Te  0.260  0.021  0.282
Te  0.740  0.979  0.718

Computed properties:
Energy relative to the elements, uncorrected (eV/atom): -0.632
Space group: No. 166